1.
The following is a DFT calculation (PBE) of ErAl2GaPt4 after structural relaxation.

Summary:
DFT formation energy	-7.9	eV per formula unit

Cell: 4.2979 4.2979 25.4821 Å, 90.00 90.00 120.00°
Space group R-3m (No. 166, hexagonal axes)
Symmetry-distinct sites (fractional):
Er 0.0000 0.0000 0.0000
Al 0.0000 0.0000 0.2459
Ga 0.0000 0.0000 0.5000
Pt 0.0000 0.0000 0.1332
Pt 0.0000 0.0000 0.4007

2.
The following is a DFT calculation (PBE) of Er2Al2GaPt5 after structural relaxation.

Summary:
DFT formation energy	-9.7	eV per formula unit

Cell: 9.801 9.801 3.647 Å, 90.00 90.00 90.00°
Space group P4/mbm (No. 127)
Symmetry-distinct sites (fractional):
Er 0.177 0.323 0.000
Al 0.123 0.623 0.000
Ga 0.000 0.000 0.000
Pt 0.000 0.500 0.500
Pt 0.064 0.795 0.500

Looking at density for the records above, in order, we have 13.1, 13.6 g cm⁻³.
Looking at size of the total moment for the records above, in order, we have 0.000, 0.000 μB/f.u..